Entry 1:
Computed, not measured: a relaxed CrReOs2O crystal at the GGA+U level of DFT.

The space group is P4/mmm (No. 123) and the conventional cell measures 4.4448, 4.4448 and 4.4793 Å, with angles of 90.00, 90.00 and 90.00 degrees. The inequivalent atoms are Cr at (0.0000, 0.0000, 0.0000), Re at (0.0000, 0.0000, 0.5000), Os at (0.0000, 0.5000, 0.0000) and O at (0.5000, 0.5000, 0.5000).

The uncorrected energy is -6.638 eV/atom. The value obtained for the total magnetic moment is 2.3 μB/cell.

Entry 2:
Computed, not measured: a relaxed Sc2CrOsO crystal at the GGA+U level of DFT.

The space group is P4/mmm (No. 123) and the conventional cell measures 4.3670, 4.3670 and 4.1309 Å, with angles of 90.00, 90.00 and 90.00 degrees. The inequivalent atoms are Sc at (0.0000, 0.5000, 0.0000), Cr at (0.0000, 0.0000, 0.5000), Os at (0.5000, 0.5000, 0.5000) and O at (0.5000, 0.5000, 0.0000).

The uncorrected energy is -7.934 eV/atom. The value obtained for the total magnetic moment is 4.5 μB/cell.

Entry 3:
Computed, not measured: a relaxed SmCr2OsO8 crystal at the GGA+U level of DFT.

The space group is P2/m (No. 10) and the conventional cell measures 4.7353, 6.4423 and 4.7441 Å, with angles of 90.00, 91.03 and 90.00 degrees. The inequivalent atoms are Sm at (0.0000, 0.0000, 0.0000), Cr at (0.5000, 0.2480, 0.5000), Os at (0.0000, 0.5000, 0.0000), O at (0.2038, 0.2911, 0.2010), O at (0.2855, 0.5000, 0.7122) and O at (0.3255, 0.0000, 0.6709).

The uncorrected energy is -7.658 eV/atom. The value obtained for the total magnetic moment is 5.3 μB/cell.

> Among the records above, which one has the highest uncorrected energy?

CrReOs2O

> What is the formula in the first record?

CrReOs2O